1.
CrIn2W, relaxed, DFT PBE-GGA; crystal system = trigonal; V = 75.2 Å³ per cell; space group = No. 166; total energy = -6.382 eV per atom; energy above the most stable polymorph in this dataset = 299 meV/atom
1.0
9.537 -0.033 -0.019
9.061 2.974 -0.019
9.061 1.433 2.606
W In Cr
1 2 1
Cartesian
6.915 1.094 0.642 W
13.792 2.181 1.280 In
0.038 0.006 0.004 In
20.745 3.281 1.926 Cr

---

2.
CrInW, relaxed, DFT PBE-GGA; crystal system = cubic; V = 61.1 Å³ per cell; space group = No. 216; total energy = -7.261 eV per atom; energy above the most stable polymorph in this dataset = 797 meV/atom
1.0
-2.569 0.028 3.599
1.399 -1.920 3.730
1.106 2.486 3.486
In Cr W
1 1 1
Cartesian
-0.032 0.297 5.408 In
0.000 0.000 0.000 Cr
-0.048 0.446 8.111 W